No. 1
Crystalline Cr4RhBr at its relaxed geometry. Source: Alexandria, functional PBE.

Geometry as CIF:
```
data_Cr4RhBr
_symmetry_space_group_name_H-M 'F -4 3 m'
_symmetry_Int_Tables_number 216
_symmetry_space_group_name_Hall 'F -4 2 3'
_cell_length_a 6.886
_cell_length_b 6.886
_cell_length_c 6.886
_cell_angle_alpha 90.00
_cell_angle_beta 90.00
_cell_angle_gamma 90.00
loop_
_atom_site_label
_atom_site_fract_x
_atom_site_fract_y
_atom_site_fract_z
_atom_site_occupancy
Cr1 0.123 0.123 0.123 1
Rh1 0.250 0.250 0.750 1
Br1 0.000 0.000 0.500 1
```

Properties
**Crystal system**: cubic
**Calculated density**: 7.9 Mg/m³
**Magnetization**: 0.00 μB per formula unit
**Total DFT energy (no corrections)**: -7.18 eV/atom



No. 2
Crystalline CrRhBr at its relaxed geometry. Source: Alexandria, functional PBE.

Geometry as CIF:
```
data_CrRhBr
_symmetry_space_group_name_H-M 'P 3 m 1'
_symmetry_Int_Tables_number 156
_symmetry_space_group_name_Hall 'P 3 -2"'
_cell_length_a 4.2366
_cell_length_b 4.2366
_cell_length_c 3.3048
_cell_angle_alpha 90.00
_cell_angle_beta 90.00
_cell_angle_gamma 120.00
loop_
_atom_site_label
_atom_site_fract_x
_atom_site_fract_y
_atom_site_fract_z
_atom_site_occupancy
Cr1 0.0000 0.0000 0.0000 1
Rh1 0.6667 0.3333 0.3664 1
Br1 0.3333 0.6667 0.6301 1
```

Properties
**Crystal system**: trigonal
**Calculated density**: 7.6 Mg/m³
**Magnetization**: 3.83 μB per formula unit
**Total DFT energy (no corrections)**: -5.68 eV/atom



No. 3
Crystalline CrRh3Br at its relaxed geometry. Source: Alexandria, functional PBE.

Geometry as CIF:
```
data_CrRh3Br
_symmetry_space_group_name_H-M 'P m -3 m'
_symmetry_Int_Tables_number 221
_symmetry_space_group_name_Hall '-P 4 2 3'
_cell_length_a 4.583
_cell_length_b 4.583
_cell_length_c 4.583
_cell_angle_alpha 90.00
_cell_angle_beta 90.00
_cell_angle_gamma 90.00
loop_
_atom_site_label
_atom_site_fract_x
_atom_site_fract_y
_atom_site_fract_z
_atom_site_occupancy
Cr1 0.000 0.000 0.000 1
Rh1 0.000 0.500 0.500 1
Br1 0.500 0.500 0.500 1
```

Properties
**Crystal system**: cubic
**Calculated density**: 7.6 Mg/m³
**Magnetization**: 4.13 μB per formula unit
**Total DFT energy (no corrections)**: -5.56 eV/atom



No. 4
Crystalline CrRh3Br at its relaxed geometry. Source: Alexandria, functional PBE.

Geometry as CIF:
```
data_CrRh3Br
_symmetry_space_group_name_H-M 'P m -3 m'
_symmetry_Int_Tables_number 221
_symmetry_space_group_name_Hall '-P 4 2 3'
_cell_length_a 4.535
_cell_length_b 4.535
_cell_length_c 4.535
_cell_angle_alpha 90.00
_cell_angle_beta 90.00
_cell_angle_gamma 90.00
loop_
_atom_site_label
_atom_site_fract_x
_atom_site_fract_y
_atom_site_fract_z
_atom_site_occupancy
Cr1 0.000 0.000 0.000 1
Rh1 0.000 0.000 0.500 1
Br1 0.500 0.500 0.500 1
```

Properties
**Crystal system**: cubic
**Calculated density**: 7.8 Mg/m³
**Magnetization**: 0.00 μB per formula unit
**Total DFT energy (no corrections)**: -5.62 eV/atom



No. 5
Crystalline CrRhBr at its relaxed geometry. Source: Alexandria, functional PBE.

Geometry as CIF:
```
data_CrRhBr
_symmetry_space_group_name_H-M 'I 4 m m'
_symmetry_Int_Tables_number 107
_symmetry_space_group_name_Hall 'I 4 -2'
_cell_length_a 3.061
_cell_length_b 3.061
_cell_length_c 10.997
_cell_angle_alpha 90.00
_cell_angle_beta 90.00
_cell_angle_gamma 90.00
loop_
_atom_site_label
_atom_site_fract_x
_atom_site_fract_y
_atom_site_fract_z
_atom_site_occupancy
Cr1 0.000 0.000 0.000 1
Rh1 0.000 0.000 0.629 1
Br1 0.000 0.000 0.335 1
```

Properties
**Crystal system**: tetragonal
**Calculated density**: 7.6 Mg/m³
**Magnetization**: 2.66 μB per formula unit
**Total DFT energy (no corrections)**: -5.85 eV/atom



No. 6
Crystalline CrRhBr at its relaxed geometry. Source: Alexandria, functional PBE.

Geometry as CIF:
```
data_CrRhBr
_symmetry_space_group_name_H-M 'P 3 m 1'
_symmetry_Int_Tables_number 156
_symmetry_space_group_name_Hall 'P 3 -2"'
_cell_length_a 3.1968
_cell_length_b 3.1968
_cell_length_c 6.0756
_cell_angle_alpha 90.00
_cell_angle_beta 90.00
_cell_angle_gamma 120.00
loop_
_atom_site_label
_atom_site_fract_x
_atom_site_fract_y
_atom_site_fract_z
_atom_site_occupancy
Cr1 0.0000 0.0000 0.0000 1
Rh1 0.3333 0.6667 0.2806 1
Br1 0.6667 0.3333 0.7010 1
```

Properties
**Crystal system**: trigonal
**Calculated density**: 7.3 Mg/m³
**Magnetization**: 3.13 μB per formula unit
**Total DFT energy (no corrections)**: -5.95 eV/atom



No. 7
Crystalline CrRhSe2Br at its relaxed geometry. Source: Alexandria, functional PBE.

Geometry as CIF:
```
data_CrRhSe2Br
_symmetry_space_group_name_H-M 'P 4/m m m'
_symmetry_Int_Tables_number 123
_symmetry_space_group_name_Hall '-P 4 2'
_cell_length_a 4.586
_cell_length_b 4.586
_cell_length_c 5.091
_cell_angle_alpha 90.00
_cell_angle_beta 90.00
_cell_angle_gamma 90.00
loop_
_atom_site_label
_atom_site_fract_x
_atom_site_fract_y
_atom_site_fract_z
_atom_site_occupancy
Cr1 0.000 0.000 0.000 1
Rh1 0.500 0.500 0.500 1
Se1 0.000 0.500 0.000 1
Br1 0.000 0.000 0.500 1
```

Properties
**Crystal system**: tetragonal
**Calculated density**: 6.1 Mg/m³
**Magnetization**: 0.00 μB per formula unit
**Total DFT energy (no corrections)**: -4.45 eV/atom



No. 8
Crystalline CrSn2RhBr at its relaxed geometry. Source: Alexandria, functional PBE.

Geometry as CIF:
```
data_CrSn2RhBr
_symmetry_space_group_name_H-M 'P 4/m m m'
_symmetry_Int_Tables_number 123
_symmetry_space_group_name_Hall '-P 4 2'
_cell_length_a 5.203
_cell_length_b 5.203
_cell_length_c 4.419
_cell_angle_alpha 90.00
_cell_angle_beta 90.00
_cell_angle_gamma 90.00
loop_
_atom_site_label
_atom_site_fract_x
_atom_site_fract_y
_atom_site_fract_z
_atom_site_occupancy
Cr1 0.000 0.000 0.000 1
Sn1 0.000 0.500 0.000 1
Rh1 0.000 0.000 0.500 1
Br1 0.500 0.500 0.500 1
```

Properties
**Crystal system**: tetragonal
**Calculated density**: 6.6 Mg/m³
**Magnetization**: 0.09 μB per formula unit
**Total DFT energy (no corrections)**: -4.88 eV/atom



No. 9
Crystalline TiCrRhBr2 at its relaxed geometry. Source: Alexandria, functional PBE.

Geometry as CIF:
```
data_TiCrRhBr2
_symmetry_space_group_name_H-M 'P 4/m m m'
_symmetry_Int_Tables_number 123
_symmetry_space_group_name_Hall '-P 4 2'
_cell_length_a 4.985
_cell_length_b 4.985
_cell_length_c 4.733
_cell_angle_alpha 90.00
_cell_angle_beta 90.00
_cell_angle_gamma 90.00
loop_
_atom_site_label
_atom_site_fract_x
_atom_site_fract_y
_atom_site_fract_z
_atom_site_occupancy
Ti1 0.000 0.000 0.000 1
Cr1 0.500 0.500 0.500 1
Rh1 0.000 0.000 0.500 1
Br1 0.000 0.500 0.000 1
```

Properties
**Crystal system**: tetragonal
**Calculated density**: 5.1 Mg/m³
**Magnetization**: 4.61 μB per formula unit
**Total DFT energy (no corrections)**: -5.26 eV/atom



No. 10
Crystalline CrRh2WBr at its relaxed geometry. Source: Alexandria, functional PBE.

Geometry as CIF:
```
data_CrRh2WBr
_symmetry_space_group_name_H-M 'P 4/m m m'
_symmetry_Int_Tables_number 123
_symmetry_space_group_name_Hall '-P 4 2'
_cell_length_a 4.556
_cell_length_b 4.556
_cell_length_c 4.620
_cell_angle_alpha 90.00
_cell_angle_beta 90.00
_cell_angle_gamma 90.00
loop_
_atom_site_label
_atom_site_fract_x
_atom_site_fract_y
_atom_site_fract_z
_atom_site_occupancy
Cr1 0.000 0.000 0.000 1
Rh1 0.000 0.500 0.500 1
W1 0.500 0.500 0.000 1
Br1 0.500 0.500 0.500 1
```

Properties
**Crystal system**: tetragonal
**Calculated density**: 9.0 Mg/m³
**Magnetization**: 3.07 μB per formula unit
**Total DFT energy (no corrections)**: -6.31 eV/atom



No. 11
Crystalline ZrCrRh2Br at its relaxed geometry. Source: Alexandria, functional PBE.

Geometry as CIF:
```
data_ZrCrRh2Br
_symmetry_space_group_name_H-M 'P 4/m m m'
_symmetry_Int_Tables_number 123
_symmetry_space_group_name_Hall '-P 4 2'
_cell_length_a 4.541
_cell_length_b 4.541
_cell_length_c 4.640
_cell_angle_alpha 90.00
_cell_angle_beta 90.00
_cell_angle_gamma 90.00
loop_
_atom_site_label
_atom_site_fract_x
_atom_site_fract_y
_atom_site_fract_z
_atom_site_occupancy
Zr1 0.000 0.000 0.000 1
Cr1 0.500 0.500 0.500 1
Rh1 0.000 0.500 0.500 1
Br1 0.500 0.500 0.000 1
```

Properties
**Crystal system**: tetragonal
**Calculated density**: 7.4 Mg/m³
**Magnetization**: 1.44 μB per formula unit
**Total DFT energy (no corrections)**: -6.32 eV/atom



No. 12
Crystalline CrRuBr2 at its relaxed geometry. Source: Alexandria, functional PBE.

Geometry as CIF:
```
data_CrRuBr2
_symmetry_space_group_name_H-M 'F m -3 m'
_symmetry_Int_Tables_number 225
_symmetry_space_group_name_Hall '-F 4 2 3'
_cell_length_a 6.343
_cell_length_b 6.343
_cell_length_c 6.343
_cell_angle_alpha 90.00
_cell_angle_beta 90.00
_cell_angle_gamma 90.00
loop_
_atom_site_label
_atom_site_fract_x
_atom_site_fract_y
_atom_site_fract_z
_atom_site_occupancy
Cr1 0.000 0.000 0.000 1
Ru1 0.000 0.000 0.500 1
Br1 0.250 0.250 0.250 1
```

Properties
**Crystal system**: cubic
**Calculated density**: 8.1 Mg/m³
**Magnetization**: 0.00 μB per formula unit
**Total DFT energy (no corrections)**: -4.54 eV/atom



No. 13
Crystalline CrRuBr2 at its relaxed geometry. Source: Alexandria, functional PBE.

Geometry as CIF:
```
data_CrRuBr2
_symmetry_space_group_name_H-M 'C m m 2'
_symmetry_Int_Tables_number 35
_symmetry_space_group_name_Hall 'C 2 -2'
_cell_length_a 4.242
_cell_length_b 5.501
_cell_length_c 7.805
_cell_angle_alpha 90.00
_cell_angle_beta 90.00
_cell_angle_gamma 90.00
loop_
_atom_site_label
_atom_site_fract_x
_atom_site_fract_y
_atom_site_fract_z
_atom_site_occupancy
Cr1 0.000 0.000 0.000 1
Ru1 0.000 0.500 0.136 1
Br1 0.000 0.000 0.362 1
Br2 0.000 0.500 0.800 1
```

Properties
**Crystal system**: orthorhombic
**Calculated density**: 5.7 Mg/m³
**Magnetization**: 2.00 μB per formula unit
**Total DFT energy (no corrections)**: -5.31 eV/atom



No. 14
Crystalline Cr4RuBr at its relaxed geometry. Source: Alexandria, functional PBE.

Geometry as CIF:
```
data_Cr4RuBr
_symmetry_space_group_name_H-M 'F -4 3 m'
_symmetry_Int_Tables_number 216
_symmetry_space_group_name_Hall 'F -4 2 3'
_cell_length_a 6.870
_cell_length_b 6.870
_cell_length_c 6.870
_cell_angle_alpha 90.00
_cell_angle_beta 90.00
_cell_angle_gamma 90.00
loop_
_atom_site_label
_atom_site_fract_x
_atom_site_fract_y
_atom_site_fract_z
_atom_site_occupancy
Cr1 0.125 0.125 0.125 1
Ru1 0.250 0.250 0.750 1
Br1 0.000 0.000 0.500 1
```

Properties
**Crystal system**: cubic
**Calculated density**: 8.0 Mg/m³
**Magnetization**: 0.00 μB per formula unit
**Total DFT energy (no corrections)**: -7.42 eV/atom



No. 15
Crystalline CrRuBr2 at its relaxed geometry. Source: Alexandria, functional PBE.

Geometry as CIF:
```
data_CrRuBr2
_symmetry_space_group_name_H-M 'I -4 m 2'
_symmetry_Int_Tables_number 119
_symmetry_space_group_name_Hall 'I -4 -2'
_cell_length_a 3.769
_cell_length_b 3.769
_cell_length_c 11.863
_cell_angle_alpha 90.00
_cell_angle_beta 90.00
_cell_angle_gamma 90.00
loop_
_atom_site_label
_atom_site_fract_x
_atom_site_fract_y
_atom_site_fract_z
_atom_site_occupancy
Cr1 0.000 0.000 0.000 1
Ru1 0.000 0.500 0.750 1
Br1 0.000 0.000 0.500 1
Br2 0.000 0.500 0.250 1
```

Properties
**Crystal system**: tetragonal
**Calculated density**: 6.2 Mg/m³
**Magnetization**: 2.57 μB per formula unit
**Total DFT energy (no corrections)**: -4.86 eV/atom